Record 1
NaP2RhO: relaxed, PBE-GGA.

Cell lengths 4.9201, 4.9201, 3.7354 Å; angles 90.00, 90.00, 90.00 degrees
Space group P4/mmm (No. 123)
Unique sites:
Na (0.0000, 0.0000, 0.0000) [1 per cell]
P (0.0000, 0.5000, 0.5000) [2 per cell]
Rh (0.5000, 0.5000, 0.5000) [1 per cell]
O (0.5000, 0.5000, 0.0000) [1 per cell]

Output
total magnetization = 0.00 Bohr magnetons per cell
N(E_F) = 4.05 states/eV/f.u.
volume = 18.08 Å³ per atom
E_form (uncorrected) = 0.13 eV per atom



Record 2
NaP2SO: relaxed, PBE-GGA.

Cell lengths 4.9211, 4.9211, 3.8457 Å; angles 90.00, 90.00, 90.00 degrees
Space group P4/mmm (No. 123)
Unique sites:
Na (0.0000, 0.0000, 0.0000) [1 per cell]
P (0.0000, 0.5000, 0.0000) [2 per cell]
S (0.5000, 0.5000, 0.5000) [1 per cell]
O (0.0000, 0.0000, 0.5000) [1 per cell]

Output
total magnetization = 0.00 Bohr magnetons per cell
N(E_F) = 5.77 states/eV/f.u.
volume = 18.63 Å³ per atom
E_form (uncorrected) = 1.36 eV per atom



Record 3
NaP2SO: relaxed, PBE-GGA.

Cell lengths 4.9354, 4.9354, 3.4369 Å; angles 90.00, 90.00, 90.00 degrees
Space group P4/mmm (No. 123)
Unique sites:
Na (0.0000, 0.0000, 0.0000) [1 per cell]
P (0.0000, 0.5000, 0.5000) [2 per cell]
S (0.5000, 0.5000, 0.5000) [1 per cell]
O (0.5000, 0.5000, 0.0000) [1 per cell]

Output
total magnetization = 0.00 Bohr magnetons per cell
N(E_F) = 2.92 states/eV/f.u.
volume = 16.74 Å³ per atom
E_form (uncorrected) = 0.37 eV per atom



Record 4
NaPSO2: relaxed, PBE-GGA.

Cell lengths 3.6728, 3.6728, 6.6540 Å; angles 90.00, 90.00, 90.00 degrees
Space group P4/mmm (No. 123)
Unique sites:
Na (0.0000, 0.0000, 0.0000) [1 per cell]
P (0.5000, 0.5000, 0.0000) [1 per cell]
S (0.0000, 0.0000, 0.5000) [1 per cell]
O (0.0000, 0.5000, 0.5000) [2 per cell]

Output
total magnetization = 1.34 Bohr magnetons per cell
N(E_F) = 3.07 states/eV/f.u.
volume = 17.95 Å³ per atom
E_form (uncorrected) = 0.46 eV per atom



Record 5
NaPS2O8: relaxed, PBE-GGA.

Cell lengths 4.7779, 4.7779, 24.1825 Å; angles 90.00, 90.00, 120.00 degrees
Space group R32 (No. 155, hexagonal axes)
Unique sites:
Na (0.0000, 0.0000, 0.0000) [3 per cell]
P (0.0000, 0.0000, 0.5000) [3 per cell]
S (0.0000, 0.0000, 0.2436) [6 per cell]
O (0.0000, 0.0000, 0.3041) [6 per cell]
O (0.0218, 0.3885, 0.8891) [18 per cell]

Output
total magnetization = 0.00 Bohr magnetons per cell
N(E_F) = 0.00 states/eV/f.u.
volume = 13.28 Å³ per atom
E_form (uncorrected) = -1.20 eV per atom



Record 6
NaPSO2: relaxed, PBE-GGA.

Cell lengths 3.9769, 3.9769, 6.0346 Å; angles 90.00, 90.00, 90.00 degrees
Space group P4/mmm (No. 123)
Unique sites:
Na (0.0000, 0.0000, 0.0000) [1 per cell]
P (0.0000, 0.0000, 0.5000) [1 per cell]
S (0.5000, 0.5000, 0.5000) [1 per cell]
O (0.0000, 0.5000, 0.0000) [2 per cell]

Output
total magnetization = 3.93 Bohr magnetons per cell
N(E_F) = 5.74 states/eV/f.u.
volume = 19.09 Å³ per atom
E_form (uncorrected) = 1.01 eV per atom